Here is a relaxed structure of SmFe2O4 from Alexandria. Energies are from PBE+U.

a = 6.981 Å, b = 6.059 Å, c = 6.060 Å
α = 72.44°, β = 54.82°, γ = 54.83°
Each line ends with the local moment (μB).
Positions (direct):
O: 0.664 0.180 0.820  0.19
Fe: 0.875 0.750 0.750  4.30
Sm: 0.736 0.500 0.500  0.03
O: 0.664 0.820 0.180  0.19
Fe: 0.375 0.250 0.750  3.77
O: 0.596 0.310 0.309  0.16
Fe: 0.375 0.750 0.250  3.79
O: 0.086 0.320 0.680  0.19
O: 0.535 0.809 0.810  0.16
Fe: 0.375 0.250 0.250  4.30
O: 0.154 0.190 0.191  0.16
O: 0.086 0.680 0.320  0.19
O: 0.215 0.691 0.690  0.16
Sm: 0.014 0.000 0.000  0.03

Computed properties:
Polymorph energy (0 for the lowest one) in meV per atom: 0.0
Volume in A^3/atom: 12.22